## P
Entry from the Alexandria database: crystalline Co2MoOs2 at its relaxed geometry (GGA-PBE).

Properties
SG: P4/mbm, No. 127
M_tot: 0.00 μB/cell
Calculated density: 14.94 g/cm3

Structure (POSCAR):
```
Co2MoOs2
1.0
7.009 0.000 0.000
0.000 7.009 0.000
0.000 0.000 2.689
Co Mo Os
4 2 4
direct
0.119 0.381 0.000
0.381 0.881 0.000
0.619 0.119 0.000
0.881 0.619 0.000
0.000 0.000 0.000
0.500 0.500 0.000
0.176 0.676 0.500
0.324 0.176 0.500
0.676 0.824 0.500
0.824 0.324 0.500
```

***

## Q
Entry from the Alexandria database: crystalline Co2MoOs2 at its relaxed geometry (GGA-PBE).

Properties
SG: I4/mmm, No. 139
M_tot: 0.00 μB/cell
Calculated density: 13.99 g/cm3

Structure (POSCAR):
```
Co2MoOs2
1.0
-1.810 1.810 5.384
1.810 -1.810 5.384
1.810 1.810 -5.384
Co Mo Os
2 1 2
direct
0.098 0.098 0.000
0.902 0.902 0.000
0.500 0.500 0.000
0.250 0.750 0.500
0.750 0.250 0.500
```

***

Stability comparison, relative energies in meV per atom: P 0; Q 385

***

## P
Entry from the Alexandria database: crystalline TaCoMoOs at its relaxed geometry (GGA-PBE).

Properties
SG: P4mm, No. 99
M_tot: 0.00 μB/cell
Calculated density: 14.86 g/cm3

Structure (POSCAR):
```
TaCoMoOs
1.0
2.812 0.000 0.000
0.000 2.812 0.000
0.000 0.000 7.432
Ta Co Mo Os
1 1 1 1
direct
0.000 0.000 0.000
0.500 0.500 0.246
0.000 0.000 0.478
0.500 0.500 0.727
```

***

## Q
Entry from the Alexandria database: crystalline TaCoMoOs at its relaxed geometry (GGA-PBE).

Properties
SG: I-4m2, No. 119
M_tot: 0.00 μB/cell
Calculated density: 14.77 g/cm3

Structure (POSCAR):
```
TaCoMoOs
1.0
-1.909 1.909 4.059
1.909 -1.909 4.059
1.909 1.909 -4.059
Ta Co Mo Os
1 1 1 1
direct
0.000 0.000 0.000
0.500 0.500 0.000
0.750 0.250 0.500
0.250 0.750 0.500
```

***

## R
Entry from the Alexandria database: crystalline TaCoMoOs at its relaxed geometry (GGA-PBE).

Properties
SG: Pmmm, No. 47
M_tot: 0.00 μB/cell
Calculated density: 14.86 g/cm3

Structure (POSCAR):
```
TaCoMoOs
1.0
3.743 0.000 0.000
0.000 3.917 0.000
0.000 0.000 4.008
Ta Co Mo Os
1 1 1 1
direct
0.000 0.000 0.000
0.500 0.500 0.000
0.000 0.500 0.500
0.500 0.000 0.500
```

***

Stability comparison, relative energies in meV per atom: P 37; Q 87; R 0

***

## P
Entry from the Alexandria database: crystalline TaCoMoOs at its relaxed geometry (GGA-PBE).

Properties
SG: P1, No. 1
M_tot: 0.00 μB/cell
Calculated density: 14.81 g/cm3

Structure (POSCAR):
```
TaCoMoOs
1.0
2.771 0.000 0.000
-0.434 4.790 0.000
-1.069 -2.300 4.443
Ta Co Mo Os
1 1 1 1
direct
0.000 0.000 0.000
0.377 0.508 0.979
0.046 0.559 0.458
0.586 0.087 0.524
```

***

## Q
Entry from the Alexandria database: crystalline TaCoMoOs at its relaxed geometry (GGA-PBE).

Properties
SG: P1, No. 1
M_tot: 0.63 μB/cell
Calculated density: 14.63 g/cm3

Structure (POSCAR):
```
TaCoMoOs
1.0
2.859 0.000 0.000
-0.007 4.691 0.000
-1.417 -0.856 4.452
Ta Co Mo Os
1 1 1 1
direct
0.000 0.000 0.000
0.255 0.810 0.511
0.772 0.322 0.544
0.524 0.522 0.048
```

***

Stability comparison, relative energies in meV per atom: P 0; Q 10

***

## P
Entry from the Alexandria database: crystalline CoMoP2S at its relaxed geometry (GGA-PBE).

Properties
SG: P4/mmm, No. 123
M_tot: 0.00 μB/cell
Calculated density: 5.26 g/cm3

Structure (POSCAR):
```
CoMoP2S
1.0
4.231 0.000 0.000
0.000 4.231 0.000
0.000 0.000 4.391
Co Mo P S
1 1 2 1
direct
0.000 0.000 0.000
0.500 0.500 0.500
0.000 0.500 0.000
0.500 0.000 0.000
0.000 0.000 0.500
```

***

## Q
Entry from the Alexandria database: crystalline CoMoP2S at its relaxed geometry (GGA-PBE).

Properties
SG: P4/mmm, No. 123
M_tot: 2.21 μB/cell
Calculated density: 4.05 g/cm3

Structure (POSCAR):
```
CoMoP2S
1.0
4.718 0.000 0.000
0.000 4.718 0.000
0.000 0.000 4.585
Co Mo P S
1 1 2 1
direct
0.000 0.000 0.000
0.500 0.500 0.500
0.000 0.500 0.500
0.500 0.000 0.500
0.500 0.500 0.000
```

***

Stability comparison, relative energies in meV per atom: P 0; Q 120

***

## P
Entry from the Alexandria database: crystalline CoMoPb2 at its relaxed geometry (GGA-PBE).

Properties
SG: P2/m, No. 10
M_tot: 0.84 μB/cell
Calculated density: 12.53 g/cm3

Structure (POSCAR):
```
CoMoPb2
1.0
3.393 0.000 0.000
0.000 3.388 0.000
-0.146 0.000 6.563
Co Mo Pb
1 1 2
direct
0.000 0.000 0.000
0.000 0.000 0.500
0.493 0.500 0.242
0.507 0.500 0.758
```

***

## Q
Entry from the Alexandria database: crystalline CoMoPb2 at its relaxed geometry (GGA-PBE).

Properties
SG: Amm2, No. 38
M_tot: 1.15 μB/cell
Calculated density: 11.56 g/cm3

Structure (POSCAR):
```
CoMoPb2
1.0
4.144 0.000 0.000
0.000 1.920 5.138
0.000 -1.920 5.138
Co Mo Pb
1 1 2
direct
0.000 0.000 0.000
0.500 0.122 0.122
0.000 0.710 0.710
0.500 0.408 0.408
```

***

## R
Entry from the Alexandria database: crystalline CoMoPb2 at its relaxed geometry (GGA-PBE).

Properties
SG: I-42d, No. 122
M_tot: 5.41 μB/cell
Calculated density: 11.23 g/cm3

Structure (POSCAR):
```
CoMoPb2
1.0
-3.732 3.732 3.020
3.732 -3.732 3.020
3.732 3.732 -3.020
Co Mo Pb
2 2 4
direct
0.000 0.000 0.000
0.750 0.250 0.500
0.250 0.750 0.500
0.500 0.500 0.000
0.092 0.625 0.967
0.375 0.342 0.467
0.658 0.125 0.033
0.875 0.908 0.533
```

***

## S
Entry from the Alexandria database: crystalline CoMoPb2 at its relaxed geometry (GGA-PBE).

Properties
SG: Immm, No. 71
M_tot: 0.65 μB/cell
Calculated density: 12.13 g/cm3

Structure (POSCAR):
```
CoMoPb2
1.0
-1.713 2.650 4.291
1.713 -2.650 4.291
1.713 2.650 -4.291
Co Mo Pb
1 1 2
direct
0.000 0.000 0.000
0.500 0.500 0.000
0.229 0.729 0.500
0.771 0.271 0.500
```

***

Stability comparison, relative energies in meV per atom: P 268; Q 0; R 507; S 346

***

## P
Entry from the Alexandria database: crystalline CoMoPb2 at its relaxed geometry (GGA-PBE).

Properties
SG: C2/m, No. 12
M_tot: 0.66 μB/cell
Calculated density: 12.10 g/cm3

Structure (POSCAR):
```
CoMoPb2
1.0
4.481 -1.556 0.000
4.481 1.556 0.000
-1.502 0.000 5.598
Co Mo Pb
1 1 2
direct
0.000 0.000 0.000
0.500 0.500 0.500
0.262 0.262 0.761
0.738 0.738 0.239
```

***

## Q
Entry from the Alexandria database: crystalline CoMoPb2 at its relaxed geometry (GGA-PBE).

Properties
SG: Cmmm, No. 65
M_tot: 0.38 μB/cell
Calculated density: 12.14 g/cm3

Structure (POSCAR):
```
CoMoPb2
1.0
1.829 -2.573 0.000
1.829 2.573 0.000
0.000 0.000 8.269
Co Mo Pb
1 1 2
direct
0.000 0.000 0.000
0.000 0.000 0.500
0.500 0.500 0.230
0.500 0.500 0.770
```

***

## R
Entry from the Alexandria database: crystalline CoMoPb2 at its relaxed geometry (GGA-PBE).

Properties
SG: P4mm, No. 99
M_tot: 0.07 μB/cell
Calculated density: 10.84 g/cm3

Structure (POSCAR):
```
CoMoPb2
1.0
3.101 0.000 0.000
0.000 3.101 0.000
0.000 0.000 9.063
Co Mo Pb
1 1 2
direct
0.000 0.000 0.000
0.500 0.500 0.131
0.000 0.000 0.385
0.500 0.500 0.772
```

***

Stability comparison, relative energies in meV per atom: P 456; Q 447; R 0

***

## P
Entry from the Alexandria database: crystalline CoMoPdPb2 at its relaxed geometry (GGA-PBE).

Properties
SG: P4/mmm, No. 123
M_tot: 5.83 μB/cell
Calculated density: 8.07 g/cm3

Structure (POSCAR):
```
CoMoPdPb2
1.0
5.194 0.000 0.000
0.000 5.194 0.000
0.000 0.000 5.154
Co Mo Pd Pb
1 1 1 2
direct
0.000 0.000 0.000
0.500 0.500 0.000
0.500 0.500 0.500
0.000 0.500 0.500
0.500 0.000 0.500
```

***

## Q
Entry from the Alexandria database: crystalline CoMoPdPb2 at its relaxed geometry (GGA-PBE).

Properties
SG: P4/mmm, No. 123
M_tot: 5.09 μB/cell
Calculated density: 9.67 g/cm3

Structure (POSCAR):
```
CoMoPdPb2
1.0
4.934 0.000 0.000
0.000 4.934 0.000
0.000 0.000 4.769
Co Mo Pd Pb
1 1 1 2
direct
0.000 0.000 0.000
0.500 0.500 0.500
0.000 0.000 0.500
0.000 0.500 0.000
0.500 0.000 0.000
```

***

Stability comparison, relative energies in meV per atom: P 380; Q 0

***

## P
Entry from the Alexandria database: crystalline CoMo2Pd at its relaxed geometry (GGA-PBE).

Properties
SG: R-3m, No. 166
M_tot: 0.96 μB/cell
Calculated density: 9.83 g/cm3

Structure (POSCAR):
```
CoMo2Pd
1.0
1.351 0.780 9.541
-1.351 0.780 9.541
0.000 -1.560 9.541
Co Mo Pd
1 2 1
direct
0.000 0.000 0.000
0.407 0.407 0.407
0.593 0.593 0.593
0.500 0.500 0.500
```

***

## Q
Entry from the Alexandria database: crystalline CoMo2Pd at its relaxed geometry (GGA-PBE).

Properties
SG: R3m, No. 160
M_tot: 0.00 μB/cell
Calculated density: 9.15 g/cm3

Structure (POSCAR):
```
CoMo2Pd
1.0
1.796 1.037 5.804
-1.796 1.037 5.804
0.000 -2.074 5.804
Co Mo Pd
1 2 1
direct
0.000 0.000 0.000
0.405 0.405 0.405
0.606 0.606 0.606
0.842 0.842 0.842
```

***

Stability comparison, relative energies in meV per atom: P 0; Q 218

***

## P
Entry from the Alexandria database: crystalline Co2MoPd at its relaxed geometry (GGA-PBE).

Properties
SG: P4/mmm, No. 123
M_tot: 0.00 μB/cell
Calculated density: 10.35 g/cm3

Structure (POSCAR):
```
Co2MoPd
1.0
3.819 0.000 0.000
0.000 3.819 0.000
0.000 0.000 3.521
Co Mo Pd
2 1 1
direct
0.000 0.500 0.000
0.500 0.000 0.000
0.000 0.000 0.500
0.500 0.500 0.500
```

***

## Q
Entry from the Alexandria database: crystalline Co2MoPd at its relaxed geometry (GGA-PBE).

Properties
SG: I-42d, No. 122
M_tot: 0.00 μB/cell
Calculated density: 9.38 g/cm3

Structure (POSCAR):
```
Co2MoPd
1.0
-3.266 3.266 2.657
3.266 -3.266 2.657
3.266 3.266 -2.657
Co Mo Pd
4 2 2
direct
0.099 0.625 0.974
0.375 0.349 0.474
0.651 0.125 0.026
0.875 0.901 0.526
0.000 0.000 0.000
0.750 0.250 0.500
0.250 0.750 0.500
0.500 0.500 0.000
```

***

Stability comparison, relative energies in meV per atom: P 0; Q 379

***

## P
Entry from the Alexandria database: crystalline Co3MoPd at its relaxed geometry (GGA-PBE).

Properties
SG: Pm-3m, No. 221
M_tot: 9.57 μB/cell
Calculated density: 6.99 g/cm3

Structure (POSCAR):
```
Co3MoPd
1.0
4.483 0.000 0.000
0.000 4.483 0.000
0.000 0.000 4.483
Co Mo Pd
3 1 1
direct
0.000 0.000 0.500
0.000 0.500 0.000
0.500 0.000 0.000
0.500 0.500 0.500
0.000 0.000 0.000
```

***

## Q
Entry from the Alexandria database: crystalline Co3MoPd at its relaxed geometry (GGA-PBE).

Properties
SG: Pm-3m, No. 221
M_tot: 1.58 μB/cell
Calculated density: 7.60 g/cm3

Structure (POSCAR):
```
Co3MoPd
1.0
4.359 0.000 0.000
0.000 4.359 0.000
0.000 0.000 4.359
Co Mo Pd
3 1 1
direct
0.000 0.000 0.500
0.000 0.500 0.000
0.500 0.000 0.000
0.000 0.000 0.000
0.500 0.500 0.500
```

***

Stability comparison, relative energies in meV per atom: P 301; Q 0

***

## P
Entry from the Alexandria database: crystalline CoMoPd2 at its relaxed geometry (GGA-PBE).

Properties
SG: Fm-3m, No. 225
M_tot: 0.78 μB/cell
Calculated density: 10.46 g/cm3

Structure (POSCAR):
```
CoMoPd2
1.0
0.000 3.079 3.079
3.079 0.000 3.079
3.079 3.079 0.000
Co Mo Pd
1 1 2
direct
0.000 0.000 0.000
0.500 0.500 0.500
0.250 0.250 0.250
0.750 0.750 0.750
```

***

## Q
Entry from the Alexandria database: crystalline CoMoPd2 at its relaxed geometry (GGA-PBE).

Properties
SG: I-42d, No. 122
M_tot: 2.40 μB/cell
Calculated density: 9.82 g/cm3

Structure (POSCAR):
```
CoMoPd2
1.0
-3.450 3.450 2.611
3.450 -3.450 2.611
3.450 3.450 -2.611
Co Mo Pd
2 2 4
direct
0.000 0.000 0.000
0.750 0.250 0.500
0.250 0.750 0.500
0.500 0.500 0.000
0.112 0.625 0.987
0.375 0.362 0.487
0.638 0.125 0.013
0.875 0.888 0.513
```

***

Stability comparison, relative energies in meV per atom: P 0; Q 310

***

## P
Entry from the Alexandria database: crystalline Co2MoPt at its relaxed geometry (GGA-PBE).

Properties
SG: I4/mmm, No. 139
M_tot: 1.18 μB/cell
Calculated density: 13.01 g/cm3

Structure (POSCAR):
```
Co2MoPt
1.0
-1.900 1.900 3.615
1.900 -1.900 3.615
1.900 1.900 -3.615
Co Mo Pt
2 1 1
direct
0.250 0.750 0.500
0.750 0.250 0.500
0.000 0.000 0.000
0.500 0.500 0.000
```

***

## Q
Entry from the Alexandria database: crystalline Co2MoPt at its relaxed geometry (GGA-PBE).

Properties
SG: P2/m, No. 10
M_tot: 2.78 μB/cell
Calculated density: 12.44 g/cm3

Structure (POSCAR):
```
Co2MoPt
1.0
2.628 0.000 0.000
0.000 4.244 0.000
-0.571 0.000 4.893
Co Mo Pt
2 1 1
direct
0.189 0.000 0.262
0.811 0.000 0.738
0.000 0.500 0.500
0.500 0.500 0.000
```

***

Stability comparison, relative energies in meV per atom: P 0; Q 209